1.
PRuBr2F | Alexandria via LeMat-Bulk | PBE-GGA | optimized geometry; final energy = -3.2647 eV per atom; SG = P4/mmm, No. 123; total magnetic moment = 2.921 μB per cell; crystal system = tetragonal
1.0
5.4715 0.0000 0.0000
0.0000 3.6232 0.0000
0.0000 0.0000 5.4715
Ru F Br P
1 1 2 1
Cartesian
2.7358 1.8116 2.7358 Ru
0.0000 0.0000 0.0000 F
0.0000 0.0000 2.7358 Br
2.7358 0.0000 0.0000 Br
0.0000 1.8116 0.0000 P

***

2.
Al2GaFe | Alexandria via LeMat-Bulk | PBE-GGA | optimized geometry; SG = R-3m, No. 166; total magnetic moment = 2.277 μB per cell; crystal system = trigonal; energy of formation from the pure elements = 1.180 eV/f.u.
1.0
-2.2959 -0.7162 1.2764
0.0818 -1.8002 2.0410
0.5765 6.6928 7.6961
Fe Ga Al
1 1 2
Cartesian
0.0000 0.0000 0.0000 Fe
-0.8188 2.0882 5.5068 Ga
0.2533 4.8413 6.0760 Al
-1.8909 -0.6649 4.9375 Al

***

3.
Cs5KI | Alexandria via LeMat-Bulk | PBE-GGA | optimized geometry; final energy = -1.3858 eV per atom; SG = C2/c, No. 15; total magnetic moment = 0.000 μB per cell; crystal system = monoclinic
1.0
-4.6846 -7.9412 -3.8884
7.4888 -5.3616 3.9115
-7.5308 0.8879 11.4597
Cs K I
10 2 2
Cartesian
-2.4268 -8.8454 -0.6747 Cs
-2.7097 -9.4168 5.2448 Cs
0.3123 -7.0230 9.2228 Cs
4.1599 -5.4460 5.8498 Cs
-7.6301 -2.9456 10.7838 Cs
2.9035 -9.4692 0.6990 Cs
-8.8865 -6.9688 5.6330 Cs
-5.0389 -5.3918 2.2599 Cs
-2.0168 -2.9980 6.2379 Cs
-2.2998 -3.5695 12.1574 Cs
0.2402 -6.2767 3.3383 K
-4.9667 -6.1382 8.1445 K
0.0000 0.0000 0.0000 I
-3.7654 0.4440 5.7298 I

***

4.
CoB | Alexandria via LeMat-Bulk | PBE-GGA | optimized geometry; SG = Imm2, No. 44; total magnetic moment = 0.784 μB per cell; crystal system = orthorhombic; energy of formation from the pure elements = -0.271 eV/f.u.
1.0
2.5310 0.0000 0.0000
0.0000 5.9186 0.0000
0.0000 0.0000 4.2827
B Co
4 4
Cartesian
0.0000 0.0000 1.7146 B
1.2655 2.9593 3.8559 B
0.0000 2.9593 1.0823 B
1.2655 0.0000 3.2237 B
0.0000 4.2398 2.8102 Co
0.0000 1.6788 2.8102 Co
1.2655 1.2805 0.6688 Co
1.2655 4.6381 0.6688 Co

***

5.
NaHPd2 | Alexandria via LeMat-Bulk | PBE-GGA | optimized geometry; final energy = -3.9486 eV per atom; SG = I4_1/amd, No. 141; total magnetic moment = 0.000 μB per cell; crystal system = tetragonal
1.0
5.6832 0.0000 0.0000
0.0000 5.6832 0.0000
2.8416 2.8416 4.0395
Na Pd H
2 4 2
Cartesian
0.0000 0.0000 0.0000 Na
5.6832 2.8416 2.0197 Na
2.8384 1.4208 1.0099 Pd
2.8448 4.2624 1.0099 Pd
4.2624 5.6864 3.0296 Pd
7.1040 5.6800 3.0296 Pd
2.8416 2.8416 0.0000 H
2.8416 5.6832 2.0197 H

***

6.
LaSmRuI | Alexandria via LeMat-Bulk | PBE-GGA | optimized geometry; final energy = -5.8046 eV per atom; SG = Cm, No. 8; total magnetic moment = 0.000 μB per cell; crystal system = monoclinic
1.0
-1.4340 3.8650 0.3673
-2.1051 -2.7880 -2.2284
-2.5550 -3.8398 7.2180
La Sm Ru I
1 1 1 1
Cartesian
-2.8255 -1.0813 4.8081 La
-2.2721 -2.4857 -1.6663 Sm
-3.8061 -3.6874 5.1473 Ru
-3.0968 1.2874 2.0923 I

***

7.
TaAgPb2 | Alexandria via LeMat-Bulk | PBE-GGA | optimized geometry; SG = I-4m2, No. 119; total magnetic moment = 0.000 μB per cell; crystal system = tetragonal; energy of formation from the pure elements = 2.281 eV/f.u.
1.0
5.8230 0.0070 0.0000
2.7472 5.1342 0.0000
-4.2851 -2.5706 2.9895
Pb Ag Ta
2 1 1
Cartesian
0.0000 0.0000 0.0000 Pb
1.3736 2.5671 1.4947 Pb
2.9115 0.0035 1.4947 Ag
4.2851 2.5706 0.0000 Ta

***

8.
Be2GaPd | Alexandria via LeMat-Bulk | PBE-GGA | optimized geometry; SG = P4/mmm, No. 123; total magnetic moment = 0.000 μB per cell; crystal system = tetragonal; energy of formation from the pure elements = -0.958 eV/f.u.
1.0
-0.8517 2.8010 1.0381
0.1347 -1.3077 3.6390
3.7185 1.0428 0.2371
Be Ga Pd
2 1 1
Cartesian
1.8592 0.5214 0.1185 Be
0.0674 -0.6538 1.8195 Be
-0.4259 1.4005 0.5190 Ga
1.5007 1.2681 2.4571 Pd

***

9.
ZnSO | Alexandria via LeMat-Bulk | PBE-GGA | optimized geometry; final energy = -3.8945 eV per atom; SG = P-1, No. 2; total magnetic moment = 0.000 μB per cell; crystal system = triclinic
1.0
2.7803 0.4621 -0.6160
0.6408 4.6601 -0.3858
-3.4087 -3.3324 8.7968
S O Zn
2 2 2
Cartesian
-0.9727 0.0580 5.4317 S
0.9851 1.7318 2.3632 S
0.5646 2.9414 1.3669 O
-0.5522 -1.1516 6.4280 O
-0.9676 1.9765 6.8821 Zn
0.9800 -0.1867 0.9128 Zn

***

10.
Er5ScTl4 | Alexandria via LeMat-Bulk | PBE-GGA | optimized geometry; SG = P4/mmm, No. 123; total magnetic moment = 0.143 μB per cell; crystal system = tetragonal; energy of formation from the pure elements = -2.532 eV/f.u.
1.0
3.6028 0.0000 0.0000
0.0000 3.6028 0.0000
0.0000 0.0000 20.8164
Er Sc Tl
5 1 4
Cartesian
1.8014 1.8014 2.1538 Er
1.8014 1.8014 6.2580 Er
1.8014 1.8014 10.4082 Er
1.8014 1.8014 14.5584 Er
1.8014 1.8014 18.6627 Er
0.0000 0.0000 0.0000 Sc
0.0000 0.0000 4.2071 Tl
0.0000 0.0000 8.3362 Tl
0.0000 0.0000 12.4802 Tl
0.0000 0.0000 16.6093 Tl

***

11.
NdYZnGe | Alexandria via LeMat-Bulk | PBE-GGA | optimized geometry; SG = F-43m, No. 216; total magnetic moment = 0.000 μB per cell; crystal system = cubic; energy of formation from the pure elements = -2.125 eV/f.u.
1.0
-1.9294 -2.8849 3.7561
-3.0002 -3.9868 -1.1217
1.7141 -4.7670 0.7006
Y Ge Nd Zn
1 1 1 1
Cartesian
-1.6078 -5.8193 1.6675 Y
-0.8039 -2.9097 0.8338 Ge
0.0000 0.0000 0.0000 Nd
-2.4116 -8.7290 2.5013 Zn

***

12.
Pa9Co4Ru11 | Alexandria via LeMat-Bulk | PBE-GGA | optimized geometry; SG = Cmmm, No. 65; total magnetic moment = 0.000 μB per cell; crystal system = orthorhombic; energy of formation from the pure elements = -7.112 eV/f.u.
1.0
3.7319 0.0000 0.0000
0.0000 10.2622 -4.2849
0.0000 0.0927 11.1204
Pa Co Ru
9 4 11
Cartesian
1.8660 6.3286 -0.8940 Pa
1.8660 4.0263 7.7295 Pa
1.8660 1.6649 6.1708 Pa
1.8660 8.6899 0.6648 Pa
1.8660 8.0520 7.1446 Pa
1.8660 2.3029 -0.3091 Pa
1.8660 9.7341 4.5964 Pa
1.8660 0.6208 2.2391 Pa
1.8660 5.1774 3.4178 Pa
1.8660 5.7792 5.8563 Co
1.8660 4.5757 0.9792 Co
1.8660 7.6563 3.0127 Co
1.8660 2.6986 3.8228 Co
0.0000 6.0534 7.6557 Ru
0.0000 4.3014 -0.8202 Ru
0.0000 9.4186 2.5579 Ru
0.0000 0.9362 4.2777 Ru
0.0000 6.4559 1.4811 Ru
0.0000 3.8990 5.3544 Ru
0.0000 8.5277 -1.6574 Ru
0.0000 1.8272 8.4930 Ru
0.0000 0.0000 0.0000 Ru
0.0000 7.3538 4.8544 Ru
0.0000 3.0011 1.9811 Ru

***

13.
AcSm3Dy2Y6 | Alexandria via LeMat-Bulk | PBE-GGA | optimized geometry; SG = C2/m, No. 12; total magnetic moment = 0.000 μB per cell; crystal system = monoclinic; energy of formation from the pure elements = 0.291 eV/f.u.
1.0
6.2644 0.0009 0.0133
-3.1298 5.4265 0.0133
-1.0642 -1.8426 11.7453
Ac Sm Dy Y
1 3 2 6
Cartesian
0.0000 0.0000 0.0000 Ac
-2.0929 3.5989 5.8859 Sm
4.1632 -0.0142 5.8859 Sm
1.0352 1.7924 5.8859 Sm
0.0023 3.6175 0.0133 Dy
3.1323 1.8099 0.0133 Dy
3.1251 1.7666 8.8028 Y
2.0769 3.5961 2.9845 Y
-1.0547 1.8182 2.9690 Y
-0.0316 3.5897 8.8028 Y
-0.0065 -0.0113 8.7874 Y
2.1019 -0.0049 2.9690 Y

***

14.
TaRe2Cl2 | Alexandria via LeMat-Bulk | PBE-GGA | optimized geometry; final energy = -6.8213 eV per atom; SG = P4/mbm, No. 127; total magnetic moment = 0.000 μB per cell; crystal system = tetragonal
1.0
7.7946 0.0000 0.0000
0.0000 7.7946 0.0000
0.0000 0.0000 2.7465
Re Cl Ta
4 4 2
Cartesian
1.5994 5.4967 1.3732 Re
5.4967 6.1952 1.3732 Re
6.1952 2.2979 1.3732 Re
2.2979 1.5994 1.3732 Re
2.9381 6.8354 0.0000 Cl
6.8354 4.8564 0.0000 Cl
4.8564 0.9591 0.0000 Cl
0.9591 2.9381 0.0000 Cl
0.0000 0.0000 0.0000 Ta
3.8973 3.8973 0.0000 Ta

***

15.
LiCaCd2Pd | Alexandria via LeMat-Bulk | PBE-GGA | optimized geometry; SG = P4/mmm, No. 123; total magnetic moment = 0.000 μB per cell; crystal system = tetragonal; energy of formation from the pure elements = -1.063 eV/f.u.
1.0
-2.3099 1.4168 4.4757
-4.5172 -2.0291 -1.6890
1.1348 -4.0925 1.8812
Ca Li Pd Cd
1 1 1 2
Cartesian
-2.8462 -2.3523 2.3339 Ca
0.5674 -2.0462 0.9406 Li
0.0000 0.0000 0.0000 Pd
-2.2586 -1.0145 -0.8445 Cd
-1.1550 0.7084 2.2379 Cd

***

16.
NaIn2Ge2 | Alexandria via LeMat-Bulk | PBE-GGA | optimized geometry; SG = P4/mbm, No. 127; total magnetic moment = 0.000 μB per cell; crystal system = tetragonal; energy of formation from the pure elements = 0.335 eV/f.u.
1.0
-1.8776 8.0696 1.0206
0.7807 -0.8639 8.2661
3.3736 0.8145 -0.2335
Na Ge In
2 4 4
Cartesian
0.0000 0.0000 0.0000 Na
-0.5484 3.6028 4.6434 Na
-0.0001 2.1329 7.4386 Ge
-1.1043 6.3507 6.1975 Ge
-1.0968 5.0728 1.8482 Ge
0.0074 0.8550 3.0893 Ge
1.9126 1.0568 5.4102 In
1.1298 4.9190 7.5722 In
0.3642 6.9634 3.6431 In
1.1470 3.1012 1.4810 In

***

17.
Sc3Pd6Pb | Alexandria via LeMat-Bulk | PBE-GGA | optimized geometry; SG = Cmc2_1, No. 36; total magnetic moment = 0.000 μB per cell; crystal system = orthorhombic; energy of formation from the pure elements = -5.931 eV/f.u.
1.0
5.1317 0.0000 0.0000
0.0000 8.6913 -0.3166
0.0000 -2.2481 8.4015
Sc Pd Pb
6 12 2
Cartesian
2.5051 6.2427 5.6794 Sc
5.0710 4.1432 7.3527 Sc
0.5691 2.0219 4.9986 Sc
3.1349 4.4213 3.0863 Sc
5.0710 0.2005 2.4054 Sc
2.5051 2.3000 0.7322 Sc
0.4791 4.6964 4.6938 Pd
3.0450 3.5275 5.6254 Pd
1.9645 2.4960 7.9721 Pd
4.5303 7.2141 4.2121 Pd
1.4544 8.5011 -0.1651 Pd
2.9952 0.6356 6.1033 Pd
0.4294 5.8075 1.9816 Pd
4.0202 -2.0579 8.2499 Pd
1.9645 -0.7709 3.8728 Pd
4.5303 3.9471 0.1127 Pd
0.4791 2.9157 2.4595 Pd
3.0450 1.7468 3.3910 Pd
0.4037 -0.3029 6.8513 Pb
2.9695 6.7461 1.2336 Pb

***

18.
Nd2EuY | Alexandria via LeMat-Bulk | PBE-GGA | optimized geometry; SG = P4/mmm, No. 123; total magnetic moment = 7.092 μB per cell; crystal system = tetragonal; energy of formation from the pure elements = 0.275 eV/f.u.
1.0
-3.5816 2.4446 -2.8577
1.9326 -2.2098 -4.3125
-3.2459 -4.0376 0.6143
Eu Y Nd
1 1 2
Cartesian
-2.4475 -1.9014 -3.2779 Eu
-1.7908 1.2223 -1.4289 Y
-1.6230 -2.0188 0.3071 Nd
0.9663 -1.1049 -2.1562 Nd

***

19.
Tl2Hg | Alexandria via LeMat-Bulk | PBE-GGA | optimized geometry; SG = I4_1/amd, No. 141; total magnetic moment = 0.000 μB per cell; crystal system = tetragonal; energy of formation from the pure elements = 0.084 eV/f.u.
1.0
14.7507 0.5442 0.0000
13.7229 5.4369 0.0000
-14.2368 -2.9905 2.4998
Tl Hg
4 2
Cartesian
16.3640 3.4374 0.0000 Tl
5.2482 -0.1747 1.2499 Tl
12.1096 2.5437 0.0000 Tl
9.5025 0.7189 1.2499 Tl
0.0000 0.0000 0.0000 Hg
6.8615 2.7184 1.2499 Hg

***

20.
KSc2Pb | Alexandria via LeMat-Bulk | PBE-GGA | optimized geometry; SG = R-3m, No. 166; total magnetic moment = 0.621 μB per cell; crystal system = trigonal; energy of formation from the pure elements = 0.858 eV/f.u.
1.0
-5.4009 -7.3543 -7.5312
-5.6122 -9.3197 -4.6497
-8.0378 -6.8863 -5.2865
K Pb Sc
1 1 2
Cartesian
-4.7627 -5.8901 -4.3669 K
-14.2882 -17.6702 -13.1006 Pb
-0.2698 -0.3336 -0.2474 Sc
-9.2557 -11.4465 -8.4863 Sc